First-principles (PBE) data for an optimized crystal structure of BaSc2Se4, as listed in the Alexandria database.

## Properties
Energy above the lowest structure with this stoichiometry   0.035 eV per atom
Space group   Cmcm (63)
Raw formation energy   -1796 meV per atom

Lattice parameters (Å, degrees): 6.893 6.893 13.754 90.00 90.00 145.63
Fractional coordinates of all 14 atoms:
Ba  0.109  0.891  0.750
Ba  0.891  0.109  0.250
Sc  0.365  0.635  0.566
Sc  0.365  0.635  0.934
Sc  0.635  0.365  0.066
Sc  0.635  0.365  0.434
Se  0.000  0.000  0.000
Se  0.000  0.000  0.500
Se  0.265  0.735  0.107
Se  0.265  0.735  0.393
Se  0.421  0.579  0.750
Se  0.579  0.421  0.250
Se  0.735  0.265  0.607
Se  0.735  0.265  0.893